Record 1
Below is a relaxed structure of Be2PtCl, with properties calculated at the GGA-PBE level.

```
Be2PtCl
1.0
0.000 3.015 3.015
3.015 0.000 3.015
3.015 3.015 0.000
Be Pt Cl
2 1 1
Direct
0.000 0.000 0.000
0.250 0.250 0.250
0.500 0.500 0.500
0.750 0.750 0.750
```

Summary:
Energy relative to the elements, uncorrected: 722 meV/atom
Magnetization: 0.000 Bohr magnetons per cell
VASP energy: -12.5 eV per formula unit
Space-group type: No. 216
Polymorph energy (0 for the lowest one): 486 kJ/mol of formula units
D(E_F): 2.69 states/eV/f.u.

=====

Record 2
Below is a relaxed structure of Ca2SnS4, with properties calculated at the GGA-PBE level.

```
Ca2SnS4
1.0
12.524 0.000 0.000
0.000 3.765 0.000
0.000 0.000 13.958
Ca Sn S
8 4 16
Direct
0.049 0.250 0.124
0.114 0.250 0.584
0.386 0.750 0.084
0.451 0.750 0.624
0.549 0.250 0.376
0.614 0.250 0.916
0.886 0.750 0.416
0.951 0.750 0.876
0.238 0.750 0.830
0.262 0.250 0.330
0.738 0.750 0.670
0.762 0.250 0.170
0.077 0.750 0.721
0.116 0.250 0.932
0.120 0.750 0.430
0.193 0.750 0.200
0.307 0.250 0.700
0.380 0.250 0.930
0.384 0.750 0.432
0.423 0.250 0.221
0.577 0.750 0.779
0.616 0.250 0.568
0.620 0.750 0.070
0.693 0.750 0.300
0.807 0.250 0.800
0.880 0.250 0.570
0.884 0.750 0.068
0.923 0.250 0.279
```

Summary:
Energy relative to the elements, uncorrected: -1087 meV/atom
Magnetization: 0.000 Bohr magnetons per cell
VASP energy: -32.1 eV per formula unit
Space-group type: No. 62
Polymorph energy (0 for the lowest one): 210 kJ/mol of formula units
D(E_F): 2.05 states/eV/f.u.

=====

Record 3
Below is a relaxed structure of Cu2TcPb, with properties calculated at the GGA-PBE level.

```
Cu2TcPb
1.0
-1.543 2.262 4.698
1.543 -2.262 4.698
1.543 2.262 -4.698
Cu Tc Pb
2 1 1
Direct
0.236 0.236 0.000
0.764 0.764 0.000
0.000 0.500 0.500
0.500 0.000 0.500
```

Summary:
Magnetization: 0.000 Bohr magnetons per cell
VASP energy: -20.2 eV per formula unit
Space-group type: No. 71
D(E_F): 1.90 states/eV/f.u.
Formation energy: 2.1 eV per formula unit

=====

Record 4
Below is a relaxed structure of LiCu2Ge, with properties calculated at the GGA-PBE level.

```
LiCu2Ge
1.0
3.874 0.000 0.000
0.000 3.874 0.000
0.000 0.000 3.480
Li Cu Ge
1 2 1
Direct
0.000 0.000 0.000
0.000 0.500 0.500
0.500 0.000 0.500
0.500 0.500 0.000
```

Summary:
Magnetization: 0.000 Bohr magnetons per cell
VASP energy: -15.2 eV per formula unit
Space-group type: No. 123
D(E_F): 1.45 states/eV/f.u.
Formation energy: -0.5 eV per formula unit

=====

Record 5
Below is a relaxed structure of BeTeAs, with properties calculated at the GGA-PBE level.

```
BeTeAs
1.0
5.708 -1.940 0.000
5.708 1.940 0.000
-3.866 0.000 7.136
Be Te As
2 2 2
Direct
0.218 0.218 0.315
0.782 0.782 0.685
0.395 0.395 0.657
0.605 0.605 0.343
0.298 0.298 0.108
0.702 0.702 0.892
```

Summary:
Energy relative to the elements, uncorrected: -22 meV/atom
Magnetization: 0.000 Bohr magnetons per cell
VASP energy: -11.6 eV per formula unit
Space-group type: No. 12
Polymorph energy (0 for the lowest one): 0 kJ/mol of formula units
D(E_F): 0.87 states/eV/f.u.

=====

Record 6
Below is a relaxed structure of Tm2Pu2Ru3, with properties calculated at the GGA-PBE level.

```
Tm2Pu2Ru3
1.0
4.914 -2.439 0.000
4.914 2.439 0.000
-3.216 0.000 5.684
Tm Pu Ru
2 2 3
Direct
0.163 0.163 0.300
0.837 0.837 0.700
0.407 0.407 0.057
0.593 0.593 0.943
0.143 0.143 0.733
0.500 0.500 0.500
0.857 0.857 0.267
```

Summary:
Magnetization: 2.257 Bohr magnetons per cell
VASP energy: -66.2 eV per formula unit
Space-group type: No. 12
Polymorph energy (0 for the lowest one): 97 kJ/mol of formula units
D(E_F): 10.35 states/eV/f.u.
Formation energy: -0.7 eV per formula unit

=====

Record 7
Below is a relaxed structure of SiRu2Rh, with properties calculated at the GGA-PBE level.

```
SiRu2Rh
1.0
2.712 -3.652 0.000
2.712 3.652 0.000
0.000 0.000 2.752
Si Ru Rh
1 2 1
Direct
0.000 0.000 0.000
0.000 0.500 0.500
0.500 0.000 0.500
0.500 0.500 0.000
```

Summary:
Energy relative to the elements, uncorrected: -113 meV/atom
Magnetization: 0.000 Bohr magnetons per cell
VASP energy: -31.8 eV per formula unit
Space-group type: No. 65
D(E_F): 5.53 states/eV/f.u.

=====

Record 8
Below is a relaxed structure of Tc2NiCl, with properties calculated at the GGA-PBE level.

```
Tc2NiCl
1.0
2.571 -4.244 0.000
2.571 4.244 0.000
-1.251 0.000 2.612
Tc Ni Cl
2 1 1
Direct
0.000 0.500 0.000
0.500 0.000 0.000
0.000 0.000 0.500
0.500 0.500 0.500
```

Summary:
Energy relative to the elements, uncorrected: 813 meV/atom
Magnetization: 0.000 Bohr magnetons per cell
VASP energy: -25.1 eV per formula unit
Space-group type: No. 12
Polymorph energy (0 for the lowest one): 220 kJ/mol of formula units
D(E_F): 6.38 states/eV/f.u.

=====

Record 9
Below is a relaxed structure of YLuSe3, with properties calculated at the GGA-PBE level.

```
YLuSe3
1.0
3.500 -6.085 0.000
3.500 6.085 0.000
-2.321 0.000 6.659
Y Lu Se
2 2 6
Direct
0.000 0.000 0.000
0.834 0.166 0.500
0.332 0.668 0.000
0.666 0.334 0.000
0.073 0.414 0.244
0.253 0.261 0.759
0.421 0.080 0.240
0.586 0.927 0.756
0.739 0.747 0.241
0.920 0.579 0.760
```

Summary:
Energy relative to the elements, uncorrected: -1880 meV/atom
Magnetization: 0.000 Bohr magnetons per cell
VASP energy: -30.8 eV per formula unit
Space-group type: No. 5
Polymorph energy (0 for the lowest one): 0 kJ/mol of formula units
D(E_F): 0.00 states/eV/f.u.

=====

Record 10
Below is a relaxed structure of ZrMn3S6, with properties calculated at the GGA-PBE level.

```
ZrMn3S6
1.0
3.121 1.802 5.692
-3.121 1.802 5.692
0.000 -3.604 5.692
Zr Mn S
1 3 6
Direct
0.000 0.000 0.000
0.188 0.188 0.188
0.499 0.499 0.499
0.688 0.688 0.688
0.085 0.787 0.423
0.295 0.580 0.910
0.423 0.085 0.787
0.580 0.910 0.295
0.787 0.423 0.085
0.910 0.295 0.580
```

Summary:
Energy relative to the elements, uncorrected: -774 meV/atom
Magnetization: 12.946 Bohr magnetons per cell
VASP energy: -68.6 eV per formula unit
Space-group type: No. 146
D(E_F): 3.94 states/eV/f.u.

=====

Record 11
Below is a relaxed structure of ZnCuRe3, with properties calculated at the GGA-PBE level.

```
ZnCuRe3
1.0
4.453 0.000 0.000
0.000 4.453 0.000
0.000 0.000 4.453
Zn Cu Re
1 1 3
Direct
0.000 0.000 0.000
0.500 0.500 0.500
0.000 0.500 0.500
0.500 0.000 0.500
0.500 0.500 0.000
```

Summary:
Magnetization: 0.000 Bohr magnetons per cell
VASP energy: -32.4 eV per formula unit
Space-group type: No. 221
Polymorph energy (0 for the lowest one): 0 kJ/mol of formula units
D(E_F): 6.50 states/eV/f.u.
Formation energy: 10.3 eV per formula unit

=====

Record 12
Below is a relaxed structure of SrTlCN2, with properties calculated at the GGA-PBE level.

```
SrTlCN2
1.0
4.227 0.000 0.000
0.000 4.227 0.000
0.000 0.000 6.668
Sr Tl C N
1 1 1 2
Direct
0.000 0.000 0.000
0.000 0.000 0.500
0.500 0.500 0.000
0.000 0.500 0.500
0.500 0.000 0.500
```

Summary:
Energy relative to the elements, uncorrected: 2438 meV/atom
Magnetization: 2.899 Bohr magnetons per cell
VASP energy: -17.7 eV per formula unit
Space-group type: No. 123
D(E_F): 4.98 states/eV/f.u.

=====

Record 13
Below is a relaxed structure of SrLi2Np3N6, with properties calculated at the GGA-PBE level.

```
SrLi2Np3N6
1.0
7.163 -1.747 0.000
7.163 1.747 0.000
-1.679 0.000 7.110
Sr Li Np N
1 2 3 6
Direct
0.000 0.000 0.000
0.323 0.323 0.594
0.677 0.677 0.406
0.000 0.000 0.500
0.321 0.321 0.187
0.679 0.679 0.813
0.167 0.167 0.601
0.177 0.177 0.005
0.485 0.485 0.290
0.515 0.515 0.710
0.823 0.823 0.995
0.833 0.833 0.399
```

Summary:
Energy relative to the elements, uncorrected: -965 meV/atom
Magnetization: 7.000 Bohr magnetons per cell
VASP energy: -105.9 eV per formula unit
Space-group type: No. 12
D(E_F): 16.87 states/eV/f.u.

=====

Record 14
Below is a relaxed structure of ErMg2Ga2Au2, with properties calculated at the GGA-PBE level.

```
ErMg2Ga2Au2
1.0
2.266 1.308 7.864
-2.266 1.308 7.864
0.000 -2.616 7.864
Er Mg Ga Au
1 2 2 2
Direct
0.000 0.000 0.000
0.133 0.133 0.133
0.867 0.867 0.867
0.399 0.399 0.399
0.601 0.601 0.601
0.253 0.253 0.253
0.747 0.747 0.747
```

Summary:
Magnetization: 0.000 Bohr magnetons per cell
VASP energy: -24.2 eV per formula unit
Space-group type: No. 166
D(E_F): 2.94 states/eV/f.u.
Formation energy: -3.9 eV per formula unit

=====

Record 15
Below is a relaxed structure of AcPaP, with properties calculated at the GGA-PBE level.

```
AcPaP
1.0
1.801 -12.922 0.000
1.801 12.922 0.000
0.000 0.000 3.569
Ac Pa P
2 2 2
Direct
0.185 0.815 0.750
0.815 0.185 0.250
0.054 0.946 0.750
0.946 0.054 0.250
0.394 0.606 0.750
0.606 0.394 0.250
```

Summary:
Magnetization: 0.000 Bohr magnetons per cell
VASP energy: -20.3 eV per formula unit
Space-group type: No. 63
Polymorph energy (0 for the lowest one): 11 kJ/mol of formula units
D(E_F): 4.17 states/eV/f.u.
Formation energy: -1.3 eV per formula unit

=====

Record 16
Below is a relaxed structure of Nd6Er8Zr, with properties calculated at the GGA-PBE level.

```
Nd6Er8Zr
1.0
4.519 2.609 6.861
-4.519 2.609 6.861
0.000 -5.218 6.861
Nd Er Zr
6 8 1
Direct
0.042 0.603 0.723
0.277 0.958 0.397
0.397 0.277 0.958
0.603 0.723 0.042
0.723 0.042 0.603
0.958 0.397 0.277
0.077 0.077 0.077
0.218 0.612 0.257
0.257 0.218 0.612
0.388 0.743 0.782
0.612 0.257 0.218
0.743 0.782 0.388
0.782 0.388 0.743
0.923 0.923 0.923
0.500 0.500 0.500
```

Summary:
Magnetization: 0.000 Bohr magnetons per cell
VASP energy: -71.7 eV per formula unit
Space-group type: No. 148
D(E_F): 21.31 states/eV/f.u.
Formation energy: 1.9 eV per formula unit

=====

Record 17
Below is a relaxed structure of VCdAu2, with properties calculated at the GGA-PBE level.

```
VCdAu2
1.0
-3.757 3.757 2.834
3.757 -3.757 2.834
3.757 3.757 -2.834
V Cd Au
2 2 4
Direct
0.000 0.000 0.000
0.750 0.250 0.500
0.250 0.750 0.500
0.500 0.500 0.000
0.108 0.625 0.983
0.375 0.358 0.483
0.642 0.125 0.017
0.875 0.892 0.517
```

Summary:
Magnetization: 6.155 Bohr magnetons per cell
VASP energy: -15.4 eV per formula unit
Space-group type: No. 122
D(E_F): 3.71 states/eV/f.u.
Formation energy: 1.2 eV per formula unit

=====

Record 18
Below is a relaxed structure of EuMgIr2, with properties calculated at the GGA-PBE level.

```
EuMgIr2
1.0
0.000 3.323 3.323
3.323 0.000 3.323
3.323 3.323 0.000
Eu Mg Ir
1 1 2
Direct
0.000 0.000 0.000
0.500 0.500 0.500
0.250 0.250 0.250
0.750 0.750 0.750
```

Summary:
Magnetization: 6.311 Bohr magnetons per cell
VASP energy: -30.0 eV per formula unit
Space-group type: No. 225
D(E_F): 8.43 states/eV/f.u.
Formation energy: -0.4 eV per formula unit

=====

Record 19
Below is a relaxed structure of BaNa2HgRh, with properties calculated at the GGA-PBE level.

```
BaNa2HgRh
1.0
5.372 0.000 0.000
0.000 5.372 0.000
0.000 0.000 5.383
Ba Na Hg Rh
1 2 1 1
Direct
0.000 0.000 0.000
0.000 0.500 0.500
0.500 0.000 0.500
0.500 0.500 0.000
0.500 0.500 0.500
```

Summary:
Magnetization: 0.000 Bohr magnetons per cell
VASP energy: -11.9 eV per formula unit
Space-group type: No. 123
D(E_F): 2.51 states/eV/f.u.
Formation energy: 0.3 eV per formula unit

=====

Record 20
Below is a relaxed structure of Hf2CdSb, with properties calculated at the GGA-PBE level.

```
Hf2CdSb
1.0
-3.918 3.918 3.059
3.918 -3.918 3.059
3.918 3.918 -3.059
Hf Cd Sb
4 2 2
Direct
0.121 0.625 0.996
0.375 0.371 0.496
0.629 0.125 0.004
0.875 0.879 0.504
0.250 0.750 0.500
0.500 0.500 0.000
0.000 0.000 0.000
0.750 0.250 0.500
```

Summary:
Energy relative to the elements, uncorrected: 79 meV/atom
Magnetization: 0.000 Bohr magnetons per cell
VASP energy: -24.6 eV per formula unit
Space-group type: No. 122
Polymorph energy (0 for the lowest one): 40 kJ/mol of formula units
D(E_F): 2.12 states/eV/f.u.